KAgO3 GGA-PBE relaxed; calculated total energy = -3.9464 eV per atom
1.0
2.7295 1.5759 5.9071
-2.7295 1.5759 5.9071
0.0000 -3.1518 5.9071
K Ag O
2 2 6
Direct
0.1432 0.1432 0.1432
0.8568 0.8568 0.8568
0.3353 0.3353 0.3353
0.6647 0.6647 0.6647
0.0586 0.6846 0.4473
0.3154 0.5527 0.9414
0.4473 0.0586 0.6846
0.5527 0.9414 0.3154
0.6846 0.4473 0.0586
0.9414 0.3154 0.5527

***

Li2PrYIn2Ag2 GGA-PBE relaxed; total moment = 0.00 Bohr magnetons per cell; calculated total energy = -3.6673 eV per atom
1.0
4.9450 0.0000 0.0000
0.0000 4.9450 0.0000
0.0000 0.0000 6.9859
Li Pr Y In Ag
2 1 1 2 2
Direct
0.0000 0.5000 0.2456
0.5000 0.0000 0.7544
0.0000 0.0000 0.5000
0.5000 0.5000 0.0000
0.0000 0.0000 0.0000
0.5000 0.5000 0.5000
0.0000 0.5000 0.7607
0.5000 0.0000 0.2393

***

HoScCSe GGA-PBE relaxed; offset from the most stable computed form = 0.5 kJ per mole of atoms; total moment = 0.01 Bohr magnetons per cell
1.0
3.6278 0.0000 0.0000
-1.8139 3.1418 0.0000
0.0000 0.0000 12.7776
Ho Sc C Se
2 2 2 2
Direct
0.3333 0.6667 0.3952
0.6667 0.3333 0.6048
0.3333 0.6667 0.0933
0.6667 0.3333 0.9067
0.0000 0.0000 0.0000
0.0000 0.0000 0.5000
0.3333 0.6667 0.7631
0.6667 0.3333 0.2369

***

Nd2YSb3 GGA-PBE relaxed; total moment = 0.00 Bohr magnetons per cell; calculated total energy = -5.9067 eV per atom
1.0
4.4759 0.0000 0.0000
-2.2379 3.8762 0.0000
0.0000 0.0000 10.9820
Nd Y Sb
2 1 3
Direct
0.3333 0.6667 0.3297
0.6667 0.3333 0.6703
0.0000 0.0000 0.0000
0.0000 0.0000 0.5000
0.3333 0.6667 0.8401
0.6667 0.3333 0.1599

***

KAsAuO GGA-PBE relaxed; offset from the most stable computed form = 24.1 kJ per mole of atoms
1.0
4.6146 0.0000 0.0000
0.0000 4.6146 0.0000
0.0000 0.0000 6.8577
K As Au O
2 2 2 2
Direct
0.2500 0.2500 0.1499
0.7500 0.7500 0.8501
0.2500 0.2500 0.7086
0.7500 0.7500 0.2914
0.2500 0.7500 0.5000
0.7500 0.2500 0.5000
0.2500 0.7500 0.0000
0.7500 0.2500 0.0000

***

BaPuTc GGA-PBE relaxed; offset from the most stable computed form = 31.4 kJ per mole of atoms; total moment = 0.13 Bohr magnetons per cell
1.0
0.0000 3.3573 3.3573
3.3573 0.0000 3.3573
3.3573 3.3573 0.0000
Ba Pu Tc
1 1 1
Direct
0.0000 0.0000 0.0000
0.2500 0.2500 0.2500
0.5000 0.5000 0.5000

***

TlCuWAu GGA-PBE relaxed; offset from the most stable computed form = 0.0 kJ per mole of atoms; total moment = 1.83 Bohr magnetons per cell
1.0
0.0000 3.2828 3.2828
3.2828 0.0000 3.2828
3.2828 3.2828 0.0000
Tl Cu W Au
1 1 1 1
Direct
0.0000 0.0000 0.0000
0.2500 0.2500 0.2500
0.7500 0.7500 0.7500
0.5000 0.5000 0.5000

***

YAgGe2 GGA-PBE relaxed; total moment = 0.00 Bohr magnetons per cell; calculated total energy = -4.7998 eV per atom
1.0
0.0000 3.4949 3.4949
3.4949 0.0000 3.4949
3.4949 3.4949 0.0000
Y Ag Ge
1 1 2
Direct
0.0000 0.0000 0.0000
0.2500 0.2500 0.2500
0.5000 0.5000 0.5000
0.7500 0.7500 0.7500

***

BeFeSbPd GGA-PBE relaxed; offset from the most stable computed form = 0.0 kJ per mole of atoms; total moment = 1.70 Bohr magnetons per cell
1.0
0.0000 3.0512 3.0512
3.0512 0.0000 3.0512
3.0512 3.0512 0.0000
Be Fe Sb Pd
1 1 1 1
Direct
0.0000 0.0000 0.0000
0.7500 0.7500 0.7500
0.5000 0.5000 0.5000
0.2500 0.2500 0.2500

***

CoC3 GGA-PBE relaxed; offset from the most stable computed form = 416.9 kJ per mole of atoms; total moment = 0.09 Bohr magnetons per cell
1.0
0.0000 2.4660 2.4660
2.4660 0.0000 2.4660
2.4660 2.4660 0.0000
Co C
1 3
Direct
0.0000 0.0000 0.0000
0.2500 0.2500 0.2500
0.5000 0.5000 0.5000
0.7500 0.7500 0.7500

***

HgGeSO GGA-PBE relaxed; offset from the most stable computed form = 44.5 kJ per mole of atoms
1.0
4.6013 0.0000 0.0000
0.0000 4.6013 0.0000
0.0000 0.0000 7.5779
Hg Ge S O
2 2 2 2
Direct
0.2500 0.2500 0.1594
0.7500 0.7500 0.8406
0.2500 0.2500 0.6217
0.7500 0.7500 0.3783
0.2500 0.7500 0.5000
0.7500 0.2500 0.5000
0.2500 0.2500 0.8466
0.7500 0.7500 0.1534

***

Sr2MgIn3Pt2 GGA-PBE relaxed; total moment = 0.01 Bohr magnetons per cell; calculated total energy = -3.8342 eV per atom
1.0
5.4149 -2.2348 0.0000
5.4149 2.2348 0.0000
-0.0241 0.0000 8.1267
Sr Mg In Pt
2 1 3 2
Direct
0.0000 0.0000 0.0000
0.1240 0.1240 0.4981
0.7232 0.7232 0.1940
0.4106 0.4106 0.6956
0.4130 0.4130 0.3011
0.7100 0.7100 0.8070
0.2824 0.2824 0.0030
0.8393 0.8393 0.4997

***

ScBeZnB GGA-PBE relaxed; offset from the most stable computed form = 27.8 kJ per mole of atoms; total moment = 0.00 Bohr magnetons per cell
1.0
0.0000 2.8940 2.8940
2.8940 0.0000 2.8940
2.8940 2.8940 0.0000
Sc Be Zn B
1 1 1 1
Direct
0.0000 0.0000 0.0000
0.7500 0.7500 0.7500
0.2500 0.2500 0.2500
0.5000 0.5000 0.5000

***

Ta2Ge3Mo4N3 GGA-PBE relaxed; total moment = 0.01 Bohr magnetons per cell; calculated total energy = -9.0873 eV per atom
1.0
4.7540 -2.7552 0.0000
4.7540 2.7552 0.0000
-3.2754 0.0000 12.4576
Ta Ge Mo N
4 6 8 6
Direct
0.0306 0.8473 0.5962
0.1527 0.9694 0.9038
0.8473 0.0306 0.0962
0.9694 0.1527 0.4038
0.0786 0.2758 0.7490
0.2758 0.0786 0.2490
0.4400 0.5600 0.7500
0.5600 0.4400 0.2500
0.7242 0.9214 0.7510
0.9214 0.7242 0.2510
0.1944 0.3851 0.0871
0.3246 0.4456 0.4120
0.3851 0.1944 0.5871
0.4456 0.3246 0.9120
0.5544 0.6754 0.0880
0.6149 0.8056 0.4129
0.6754 0.5544 0.5880
0.8056 0.6149 0.9129
0.0000 0.5000 0.5000
0.1525 0.6967 0.0000
0.3033 0.8475 0.5000
0.5000 0.0000 0.0000
0.6967 0.1525 0.5000
0.8475 0.3033 0.0000

***

GdAgGeTeS2 GGA-PBE relaxed; total moment = 0.01 Bohr magnetons per cell; calculated total energy = -4.6364 eV per atom
1.0
1.9893 -6.6587 0.0000
1.9893 6.6587 0.0000
0.0000 0.0000 11.2708
Gd Ag Ge Te S
2 2 2 2 4
Direct
0.0000 0.0000 0.0000
0.0000 0.0000 0.5000
0.4765 0.5235 0.7500
0.5235 0.4765 0.2500
0.2091 0.7909 0.2500
0.7909 0.2091 0.7500
0.1282 0.8718 0.7500
0.8718 0.1282 0.2500
0.3674 0.6326 0.5699
0.3674 0.6326 0.9301
0.6326 0.3674 0.0699
0.6326 0.3674 0.4301

***

BaPOsO GGA-PBE relaxed; offset from the most stable computed form = 30.6 kJ per mole of atoms; total moment = 0.00 Bohr magnetons per cell
1.0
4.0769 0.0000 0.0000
0.0000 7.0156 0.0000
0.0000 0.0000 6.5186
Ba P Os O
2 2 2 2
Direct
0.0000 0.2108 0.0000
0.0000 0.7892 0.5000
0.0000 0.2572 0.5003
0.0000 0.7428 0.0003
0.5000 0.3889 0.5652
0.5000 0.6111 0.0652
0.5000 0.3885 0.8708
0.5000 0.6115 0.3708

***

Sm2Fe14C GGA-PBE relaxed; total moment = 121.12 Bohr magnetons per cell; calculated total energy = -7.9772 eV per atom
1.0
8.7447 0.0000 0.0000
0.0000 8.7447 0.0000
0.0000 0.0000 11.8378
Sm Fe C
8 56 4
Direct
0.1434 0.1434 0.0000
0.2393 0.2393 0.5000
0.2607 0.7393 0.0000
0.3566 0.6434 0.5000
0.6434 0.3566 0.5000
0.7393 0.2607 0.0000
0.7607 0.7607 0.5000
0.8566 0.8566 0.0000
0.0000 0.0000 0.3923
0.0000 0.0000 0.6077
0.0000 0.5000 0.0000
0.0000 0.5000 0.5000
0.0360 0.6411 0.1765
0.0360 0.6411 0.8235
0.0655 0.7253 0.3791
0.0655 0.7253 0.6209
0.0975 0.9025 0.2065
0.0975 0.9025 0.7935
0.1411 0.4640 0.3235
0.1411 0.4640 0.6765
0.1834 0.1834 0.2548
0.1834 0.1834 0.7452
0.2253 0.4345 0.1209
0.2253 0.4345 0.8791
0.2747 0.9345 0.3791
0.2747 0.9345 0.6209
0.3166 0.6834 0.2452
0.3166 0.6834 0.7548
0.3589 0.9640 0.1765
0.3589 0.9640 0.8235
0.4025 0.4025 0.2935
0.4025 0.4025 0.7065
0.4345 0.2253 0.1209
0.4345 0.2253 0.8791
0.4640 0.1411 0.3235
0.4640 0.1411 0.6765
0.5000 0.0000 0.0000
0.5000 0.0000 0.5000
0.5000 0.5000 0.1077
0.5000 0.5000 0.8923
0.5360 0.8589 0.3235
0.5360 0.8589 0.6765
0.5655 0.7747 0.1209
0.5655 0.7747 0.8791
0.5975 0.5975 0.2935
0.5975 0.5975 0.7065
0.6411 0.0360 0.1765
0.6411 0.0360 0.8235
0.6834 0.3166 0.2452
0.6834 0.3166 0.7548
0.7253 0.0655 0.3791
0.7253 0.0655 0.6209
0.7747 0.5655 0.1209
0.7747 0.5655 0.8791
0.8166 0.8166 0.2548
0.8166 0.8166 0.7452
0.8589 0.5360 0.3235
0.8589 0.5360 0.6765
0.9025 0.0975 0.2065
0.9025 0.0975 0.7935
0.9345 0.2747 0.3791
0.9345 0.2747 0.6209
0.9640 0.3589 0.1765
0.9640 0.3589 0.8235
0.1256 0.8744 0.5000
0.3744 0.3744 0.0000
0.6256 0.6256 0.0000
0.8744 0.1256 0.5000

***

DyTcSb GGA-PBE relaxed; offset from the most stable computed form = 56.2 kJ per mole of atoms; total moment = 0.02 Bohr magnetons per cell
1.0
0.0000 3.3856 3.3856
3.3856 0.0000 3.3856
3.3856 3.3856 0.0000
Dy Tc Sb
1 1 1
Direct
0.0000 0.0000 0.0000
0.2500 0.2500 0.2500
0.7500 0.7500 0.7500

***

SrPaW GGA-PBE relaxed; offset from the most stable computed form = 0.0 kJ per mole of atoms; total moment = 0.00 Bohr magnetons per cell
1.0
0.0000 3.4882 3.4882
3.4882 0.0000 3.4882
3.4882 3.4882 0.0000
Sr Pa W
1 1 1
Direct
0.0000 0.0000 0.0000
0.5000 0.5000 0.5000
0.2500 0.2500 0.2500

***

ZnInCoMo GGA-PBE relaxed; offset from the most stable computed form = 0.0 kJ per mole of atoms; total moment = 2.01 Bohr magnetons per cell
1.0
0.0000 3.1184 3.1184
3.1184 0.0000 3.1184
3.1184 3.1184 0.0000
Zn In Co Mo
1 1 1 1
Direct
0.0000 0.0000 0.0000
0.2500 0.2500 0.2500
0.5000 0.5000 0.5000
0.7500 0.7500 0.7500

***

Al3Fe GGA-PBE relaxed; total moment = 0.92 Bohr magnetons per cell; calculated total energy = -5.0451 eV per atom
1.0
5.3585 0.0000 0.0000
-2.6793 4.6406 0.0000
0.0000 0.0000 4.3629
Al Fe
6 2
Direct
0.1715 0.3430 0.2500
0.1715 0.8285 0.2500
0.3430 0.1715 0.7500
0.6570 0.8285 0.2500
0.8285 0.1715 0.7500
0.8285 0.6570 0.7500
0.3333 0.6667 0.7500
0.6667 0.3333 0.2500

***

Zr3B4As GGA-PBE relaxed; total moment = 0.00 Bohr magnetons per cell; calculated total energy = -7.8999 eV per atom
1.0
3.2241 0.0000 0.0000
0.0000 3.5186 0.0000
0.0000 0.0000 8.8602
Zr B As
3 4 1
Direct
0.0000 0.0000 0.0000
0.5000 0.0000 0.3144
0.5000 0.0000 0.6856
0.0000 0.5000 0.1995
0.0000 0.5000 0.8005
0.5000 0.5000 0.1098
0.5000 0.5000 0.8902
0.0000 0.5000 0.5000